Record 1
# MgTcSnP (PBE, relaxed)
# formation energy = -0.19 eV/atom
# calculated density = 5.95 g/cm³
# energy above the most stable polymorph in this dataset = 0.076 eV per atom
data_MgTcSnP
_cell_length_a 9.556
_cell_length_b 3.221
_cell_length_c 5.864
_cell_angle_alpha 90.00
_cell_angle_beta 122.75
_cell_angle_gamma 90.00
_symmetry_space_group_name_H-M 'C 1 m 1'
_symmetry_Int_Tables_number 8
_symmetry_space_group_name_Hall 'C -2y'
loop_
_atom_site_label
_atom_site_type_symbol
_atom_site_fract_x
_atom_site_fract_y
_atom_site_fract_z
Mg1 Mg 0.000 0.000 0.000
Tc1 Tc 0.301 0.000 0.504
Sn1 Sn 0.123 0.500 0.644
P1 P 0.309 0.500 0.225

---

Record 2
# DyB3Os3 (PBE, relaxed)
# formation energy = 0.01 eV/atom
# calculated density = 12.61 g/cm³
# energy above the most stable polymorph in this dataset = 0.138 eV per atom
data_DyB3Os3
_cell_length_a 5.864
_cell_length_b 5.864
_cell_length_c 5.864
_cell_angle_alpha 90.00
_cell_angle_beta 90.00
_cell_angle_gamma 90.00
_symmetry_space_group_name_H-M 'P m -3 n'
_symmetry_Int_Tables_number 223
_symmetry_space_group_name_Hall '-P 4n 2 3'
loop_
_atom_site_label
_atom_site_type_symbol
_atom_site_fract_x
_atom_site_fract_y
_atom_site_fract_z
Dy1 Dy 0.000 0.000 0.000
B1 B 0.000 0.250 0.500
Os1 Os 0.000 0.500 0.250

---

Record 3
# TcSb2O (PBE, relaxed)
# formation energy (no corrections) = 0.129 eV/atom
# calculated density = 6.75 g/cm³
data_TcSb2O
_cell_length_a 5.626
_cell_length_b 5.626
_cell_length_c 11.114
_cell_angle_alpha 90.00
_cell_angle_beta 90.00
_cell_angle_gamma 90.00
_symmetry_space_group_name_H-M 'I -4 2 d'
_symmetry_Int_Tables_number 122
_symmetry_space_group_name_Hall 'I -4 2bw'
loop_
_atom_site_label
_atom_site_type_symbol
_atom_site_fract_x
_atom_site_fract_y
_atom_site_fract_z
Tc1 Tc 0.000 0.000 0.000
Sb1 Sb 0.216 0.250 0.625
O1 O 0.000 0.000 0.500

---

Record 4
# TmMnPt6 (PBE, relaxed)
# formation energy = -0.70 eV/atom
# calculated density = 17.89 g/cm³
data_TmMnPt6
_cell_length_a 4.016
_cell_length_b 4.016
_cell_length_c 8.024
_cell_angle_alpha 90.00
_cell_angle_beta 90.00
_cell_angle_gamma 90.00
_symmetry_space_group_name_H-M 'P 4/m m m'
_symmetry_Int_Tables_number 123
_symmetry_space_group_name_Hall '-P 4 2'
loop_
_atom_site_label
_atom_site_type_symbol
_atom_site_fract_x
_atom_site_fract_y
_atom_site_fract_z
Tm1 Tm 0.000 0.000 0.000
Mn1 Mn 0.000 0.000 0.500
Pt1 Pt 0.000 0.500 0.261
Pt2 Pt 0.500 0.500 0.000
Pt3 Pt 0.500 0.500 0.500

---

Record 5
# Sc5Hg (PBE, relaxed)
# formation energy = 0.17 eV/atom
# calculated density = 4.92 g/cm³
# energy above the most stable polymorph in this dataset = 0.295 eV per atom
data_Sc5Hg
_cell_length_a 8.311
_cell_length_b 8.311
_cell_length_c 8.311
_cell_angle_alpha 90.00
_cell_angle_beta 90.00
_cell_angle_gamma 90.00
_symmetry_space_group_name_H-M 'F -4 3 m'
_symmetry_Int_Tables_number 216
_symmetry_space_group_name_Hall 'F -4 2 3'
loop_
_atom_site_label
_atom_site_type_symbol
_atom_site_fract_x
_atom_site_fract_y
_atom_site_fract_z
Sc1 Sc 0.000 0.000 0.000
Sc2 Sc 0.126 0.126 0.374
Hg1 Hg 0.250 0.250 0.750

---

Record 6
# Fe4PIr (PBE, relaxed)
# formation energy = 0.29 eV/atom
# calculated density = 9.91 g/cm³
data_Fe4PIr
_cell_length_a 6.688
_cell_length_b 6.688
_cell_length_c 6.688
_cell_angle_alpha 90.00
_cell_angle_beta 90.00
_cell_angle_gamma 90.00
_symmetry_space_group_name_H-M 'F -4 3 m'
_symmetry_Int_Tables_number 216
_symmetry_space_group_name_Hall 'F -4 2 3'
loop_
_atom_site_label
_atom_site_type_symbol
_atom_site_fract_x
_atom_site_fract_y
_atom_site_fract_z
Fe1 Fe 0.125 0.125 0.125
P1 P 0.000 0.000 0.500
Ir1 Ir 0.250 0.250 0.750

---

Asked for Fermi-level density of states across the records above, the calculation gives 0.452 1.183 0.846 1.155 1.018 1.120 states/eV/atom in order.
Asked for VASP energy across the records above, the calculation gives -5.530 -8.318 -5.763 -6.937 -5.154 -7.731 eV per atom in order.